VASP calculation (PBE) on a relaxed structure of Nb3V5H2.

It has space group Ibam (No. 72), with a = 6.647 Å, b = 12.425 Å, c = 6.233 Å, α = 90.00°, β = 90.00° and γ = 90.00°. The inequivalent atoms are Nb at (0.000, 0.000, 0.250), Nb at (0.228, 0.370, 0.000), V at (0.000, 0.253, 0.250), V at (0.000, 0.500, 0.250), V at (0.222, 0.371, 0.500) and H at (0.014, 0.103, 0.000).

The total energy comes out at -8.28 eV per atom. Its volume is 514.7 Å³/cell. The density of states at the Fermi level is 1.24 states/eV per atom.

---

VASP calculation (PBE) on a relaxed structure of NbVH2.

It has space group R3m (No. 160, hexagonal axes), with a = 2.8594 Å, b = 2.8594 Å, c = 15.5703 Å, α = 90.00°, β = 90.00° and γ = 120.00°. The inequivalent atoms are Nb at (0.0000, 0.0000, 0.0000), V at (0.0000, 0.0000, 0.1714), H at (0.0000, 0.0000, 0.5710) and H at (0.0000, 0.0000, 0.7676).

Its energy above the most stable polymorph in this dataset is 263 meV/atom. Its volume is 110.3 Å³/cell. The density of states at the Fermi level is 0.81 states/eV per atom.